NaLiCeWO6: optimized geometry, PBE with a Hubbard U.

Cell: 8.340 8.340 8.340 Å, 90.00 90.00 90.00°
Space group F-43m (No. 216)
Symmetry-distinct sites (fractional):
Na 0.000 0.000 0.000 (multiplicity 4)
Li 0.000 0.000 0.500 (multiplicity 4)
Ce 0.250 0.250 0.750 (multiplicity 4)
W 0.250 0.250 0.250 (multiplicity 4)
O 0.017 0.250 0.250 (multiplicity 24)

As for the final energy: -6.922 eV/atom.